# K2HfICl | Alexandria | SCAN | PBEsol geometry
# - Electronic total energy: -123.82 eV per cell
# - Formation energy from raw total energies: 46 meV/atom
# - Space-group type: P4/mmm, No. 123
# - Spin magnetization: 0.400 μB/atom
data_K2HfICl
_cell_length_a 5.468
_cell_length_b 5.468
_cell_length_c 7.107
_cell_angle_alpha 90.00
_cell_angle_beta 90.00
_cell_angle_gamma 90.00
_symmetry_space_group_name_H-M 'P 1'
_symmetry_Int_Tables_number 1
loop_
_symmetry_equiv_pos_as_xyz
'x,y,z'
loop_
_atom_site_label
_atom_site_type_symbol
_atom_site_fract_x
_atom_site_fract_y
_atom_site_fract_z
K1 K 0.000 0.500 0.000
K2 K 0.500 0.000 0.000
Hf1 Hf 0.000 0.000 0.500
I1 I 0.500 0.500 0.500
Cl1 Cl 0.500 0.500 0.000

# HfIN2Cl | Alexandria | SCAN | PBEsol geometry
# - Electronic total energy: -124.10 eV per cell
# - Formation energy from raw total energies: 376 meV/atom
# - Space-group type: P4/mmm, No. 123
# - Spin magnetization: 0.000 μB/atom
data_HfIN2Cl
_cell_length_a 4.086
_cell_length_b 4.086
_cell_length_c 6.102
_cell_angle_alpha 90.00
_cell_angle_beta 90.00
_cell_angle_gamma 90.00
_symmetry_space_group_name_H-M 'P 1'
_symmetry_Int_Tables_number 1
loop_
_symmetry_equiv_pos_as_xyz
'x,y,z'
loop_
_atom_site_label
_atom_site_type_symbol
_atom_site_fract_x
_atom_site_fract_y
_atom_site_fract_z
Hf1 Hf 0.000 0.000 0.000
I1 I 0.000 0.000 0.500
N1 N 0.000 0.500 0.000
N2 N 0.500 0.000 0.000
Cl1 Cl 0.500 0.500 0.500

# Hf2PdICl | Alexandria | SCAN | PBEsol geometry
# - Electronic total energy: -197.09 eV per cell
# - Formation energy from raw total energies: 1150 meV/atom
# - Space-group type: P4/mmm, No. 123
# - Spin magnetization: 0.001 μB/atom
data_Hf2PdICl
_cell_length_a 5.233
_cell_length_b 5.233
_cell_length_c 4.825
_cell_angle_alpha 90.00
_cell_angle_beta 90.00
_cell_angle_gamma 90.00
_symmetry_space_group_name_H-M 'P 1'
_symmetry_Int_Tables_number 1
loop_
_symmetry_equiv_pos_as_xyz
'x,y,z'
loop_
_atom_site_label
_atom_site_type_symbol
_atom_site_fract_x
_atom_site_fract_y
_atom_site_fract_z
Hf1 Hf 0.000 0.500 0.000
Hf2 Hf 0.500 0.000 0.000
Pd1 Pd 0.000 0.000 0.500
I1 I 0.000 0.000 0.000
Cl1 Cl 0.500 0.500 0.500

# HfTe2ICl | Alexandria | SCAN | PBEsol geometry
# - Electronic total energy: -177.31 eV per cell
# - Formation energy from raw total energies: 918 meV/atom
# - Space-group type: P4/mmm, No. 123
# - Spin magnetization: 0.221 μB/atom
data_HfTe2ICl
_cell_length_a 5.026
_cell_length_b 5.026
_cell_length_c 6.003
_cell_angle_alpha 90.00
_cell_angle_beta 90.00
_cell_angle_gamma 90.00
_symmetry_space_group_name_H-M 'P 1'
_symmetry_Int_Tables_number 1
loop_
_symmetry_equiv_pos_as_xyz
'x,y,z'
loop_
_atom_site_label
_atom_site_type_symbol
_atom_site_fract_x
_atom_site_fract_y
_atom_site_fract_z
Hf1 Hf 0.000 0.000 0.000
Te1 Te 0.000 0.500 0.500
Te2 Te 0.500 0.000 0.500
I1 I 0.500 0.500 0.000
Cl1 Cl 0.500 0.500 0.500

# Hf3InCl | Alexandria | SCAN | PBEsol geometry
# - Electronic total energy: -229.05 eV per cell
# - Formation energy from raw total energies: 67 meV/atom
# - Space-group type: Pm-3m, No. 221
# - Spin magnetization: 0.000 μB/atom
data_Hf3InCl
_cell_length_a 4.690
_cell_length_b 4.690
_cell_length_c 4.690
_cell_angle_alpha 90.00
_cell_angle_beta 90.00
_cell_angle_gamma 90.00
_symmetry_space_group_name_H-M 'P 1'
_symmetry_Int_Tables_number 1
loop_
_symmetry_equiv_pos_as_xyz
'x,y,z'
loop_
_atom_site_label
_atom_site_type_symbol
_atom_site_fract_x
_atom_site_fract_y
_atom_site_fract_z
Hf1 Hf 0.000 0.000 0.500
Hf2 Hf 0.000 0.500 0.000
Hf3 Hf 0.500 0.000 0.000
In1 In 0.500 0.500 0.500
Cl1 Cl 0.000 0.000 0.000

# HfInCl2 | Alexandria | SCAN | PBEsol geometry
# - Electronic total energy: -112.50 eV per cell
# - Formation energy from raw total energies: -120 meV/atom
# - Space-group type: Fm-3m, No. 225
# - Spin magnetization: 0.000 μB/atom
data_HfInCl2
_cell_length_a 4.782
_cell_length_b 4.782
_cell_length_c 4.782
_cell_angle_alpha 60.00
_cell_angle_beta 60.00
_cell_angle_gamma 60.00
_symmetry_space_group_name_H-M 'P 1'
_symmetry_Int_Tables_number 1
loop_
_symmetry_equiv_pos_as_xyz
'x,y,z'
loop_
_atom_site_label
_atom_site_type_symbol
_atom_site_fract_x
_atom_site_fract_y
_atom_site_fract_z
Hf1 Hf 0.000 0.000 0.000
In1 In 0.500 0.500 0.500
Cl1 Cl 0.250 0.250 0.250
Cl2 Cl 0.750 0.750 0.750